A relaxed structure of Tb4Sm2Er, computed with GGA-PBE.

abc: 6.1128 6.6069 11.5760
angles: 90.00 103.96 90.00
Atoms (fractional coordinates):
Er 0.8537 0.2500 0.8406
Er 0.1463 0.7500 0.1594
Tb 0.1505 0.7500 0.4461
Tb 0.8495 0.2500 0.5539
Tb 0.0266 0.7500 0.8577
Tb 0.9734 0.2500 0.1423
Tb 0.6499 0.5073 0.2874
Tb 0.3501 0.0073 0.7126
Tb 0.3501 0.4927 0.7126
Tb 0.6499 0.9927 0.2874
Sm 0.2873 0.2500 0.4262
Sm 0.3976 0.2500 0.0062
Sm 0.7127 0.7500 0.5738
Sm 0.6024 0.7500 0.9938

## Properties
Total DFT energy (no corrections) = -4.512 eV/atom
Energy of formation from the pure elements = 0.134 eV per atom
M_tot = 0.00 μB/f.u.